Computed, not measured: a relaxed structure of Sr2Zn2Pd5Au at the PBE level of DFT.

Results
Energy of formation from the pure elements   -0.515 eV/atom
Space-group type   P4/mbm, No. 127

Cell: 3.840 9.957 9.957 Å, 90.00 90.00 90.00°
Fractional positions:
Sr (0.000, 0.680, 0.180)
Sr (0.000, 0.320, 0.820)
Sr (0.000, 0.180, 0.320)
Sr (0.000, 0.820, 0.680)
Zn (0.000, 0.119, 0.619)
Zn (0.000, 0.881, 0.381)
Zn (0.000, 0.619, 0.881)
Zn (0.000, 0.381, 0.119)
Pd (0.500, 0.209, 0.062)
Pd (0.500, 0.791, 0.938)
Pd (0.500, 0.062, 0.791)
Pd (0.500, 0.709, 0.438)
Pd (0.500, 0.938, 0.209)
Pd (0.500, 0.291, 0.562)
Pd (0.500, 0.562, 0.709)
Pd (0.500, 0.438, 0.291)
Pd (0.500, 0.500, 0.000)
Pd (0.500, 0.000, 0.500)
Au (0.000, 0.000, 0.000)
Au (0.000, 0.500, 0.500)

=====

Computed, not measured: a relaxed structure of TlCrTc2 at the PBE level of DFT.

Results
Energy of formation from the pure elements   0.431 eV/atom
Energy above the lowest structure with this stoichiometry   0 meV/atom
Space-group type   P4mm, No. 99

Cell: 2.945 2.945 7.739 Å, 90.00 90.00 90.00°
Last column: magnetic moment on the atom in μB.
Fractional positions:
Cr (0.500, 0.500, 0.786)  2.77
Tc (0.000, 0.000, 0.007)  -0.39
Tc (0.500, 0.500, 0.209)  0.30
Tl (0.000, 0.000, 0.498)  -0.05

=====

Computed, not measured: a relaxed structure of CaNiBr at the PBE level of DFT.

Results
Space-group type   Imm2, No. 44
Formation energy from raw total energies   -0.86 eV per atom

Cell: 3.590 22.731 3.590 Å, 90.00 90.00 90.00°
Last column: magnetic moment on the atom in μB.
Fractional positions:
Ni (0.000, 0.500, 0.089)  0.14
Ni (0.500, 0.000, 0.589)  0.14
Ni (0.000, 0.000, 0.092)  0.14
Ni (0.500, 0.500, 0.592)  0.14
Ca (0.000, 0.601, 0.586)  0.00
Ca (0.000, 0.399, 0.586)  0.00
Ca (0.500, 0.101, 0.086)  0.00
Ca (0.500, 0.899, 0.086)  0.00
Br (0.000, 0.168, 0.585)  0.00
Br (0.000, 0.832, 0.585)  0.00
Br (0.500, 0.668, 0.085)  0.00
Br (0.500, 0.332, 0.085)  0.00

=====

Computed, not measured: a relaxed structure of Tm2B7Ir12 at the PBE level of DFT.

Results
Energy of formation from the pure elements   -0.405 eV/atom
Space-group type   P-3, No. 147

Cell: 3.967 8.895 8.895 Å, 120.00 90.00 90.00°
Fractional positions:
Tm (0.255, 0.333, 0.667)
Tm (0.745, 0.667, 0.333)
B (0.500, 0.000, 0.000)
B (0.239, 0.881, 0.294)
B (0.239, 0.413, 0.119)
B (0.239, 0.706, 0.587)
B (0.761, 0.119, 0.706)
B (0.761, 0.587, 0.881)
B (0.761, 0.294, 0.413)
Ir (0.250, 0.621, 0.065)
Ir (0.250, 0.444, 0.379)
Ir (0.250, 0.935, 0.556)
Ir (0.750, 0.379, 0.935)
Ir (0.750, 0.556, 0.621)
Ir (0.750, 0.065, 0.444)
Ir (0.252, 0.094, 0.247)
Ir (0.252, 0.153, 0.906)
Ir (0.252, 0.753, 0.847)
Ir (0.748, 0.906, 0.753)
Ir (0.748, 0.847, 0.094)
Ir (0.748, 0.247, 0.153)

=====

Computed, not measured: a relaxed structure of Pu2Pa5Pt5 at the PBE level of DFT.

Results
Energy of formation from the pure elements   -0.590 eV/atom
Space-group type   C2/m, No. 12

Cell: 4.766 7.447 8.475 Å, 101.65 73.67 71.34°
Last column: magnetic moment on the atom in μB.
Fractional positions:
Pu (0.345, 0.509, 0.800)  4.95
Pu (0.655, 0.491, 0.200)  4.95
Pa (0.000, 0.500, 0.500)  -0.19
Pa (0.685, 0.737, 0.893)  0.29
Pa (0.370, 0.942, 0.319)  0.17
Pa (0.630, 0.058, 0.681)  0.17
Pa (0.315, 0.263, 0.107)  0.29
Pt (0.708, 0.194, 0.390)  0.00
Pt (0.952, 0.279, 0.817)  0.00
Pt (0.048, 0.721, 0.183)  0.00
Pt (0.292, 0.806, 0.610)  0.00
Pt (0.000, 0.000, 0.000)  -0.01

=====

Computed, not measured: a relaxed structure of Tb4Y2Ho5 at the PBE level of DFT.

Results
Energy of formation from the pure elements   0.019 eV/atom
Energy above the lowest structure with this stoichiometry   0 meV/atom
Space-group type   P-1, No. 2

Cell: 3.541 9.384 11.766 Å, 106.35 81.40 112.19°
Fractional positions:
Tb (0.773, 0.455, 0.364)
Tb (0.317, 0.362, 0.091)
Tb (0.227, 0.545, 0.636)
Tb (0.683, 0.638, 0.909)
Y (0.863, 0.272, 0.818)
Y (0.137, 0.728, 0.182)
Ho (0.955, 0.092, 0.273)
Ho (0.045, 0.908, 0.727)
Ho (0.592, 0.820, 0.456)
Ho (0.500, 0.000, 0.000)
Ho (0.408, 0.180, 0.544)

=====

Computed, not measured: a relaxed structure of IrSe2Cl at the PBE level of DFT.

Results
Energy above the lowest structure with this stoichiometry   372 meV/atom
Space-group type   R3m, No. 160
Formation energy from raw total energies   0.11 eV per atom

Cell: 9.377 9.377 9.377 Å, 21.36 21.36 21.36°
Fractional positions:
Cl (0.466, 0.466, 0.466)
Ir (0.741, 0.741, 0.741)
Se (0.027, 0.027, 0.027)
Se (0.267, 0.267, 0.267)

=====

Computed, not measured: a relaxed structure of PrLuZnHg at the PBE level of DFT.

Results
Energy of formation from the pure elements   -0.359 eV/atom
Space-group type   F-43m, No. 216

Cell: 5.233 5.233 5.233 Å, 60.00 60.00 60.00°
Fractional positions:
Pr (0.250, 0.250, 0.250)
Zn (0.000, 0.000, 0.000)
Lu (0.750, 0.750, 0.750)
Hg (0.500, 0.500, 0.500)

=====

Computed, not measured: a relaxed structure of CuMo3Se at the PBE level of DFT.

Results
Energy above the lowest structure with this stoichiometry   328 meV/atom
Space-group type   Pm-3m, No. 221
Formation energy from raw total energies   1.66 eV per atom

Cell: 4.560 4.560 4.560 Å, 90.00 90.00 90.00°
Fractional positions:
Mo (0.000, 0.500, 0.000)
Mo (0.000, 0.000, 0.500)
Mo (0.500, 0.000, 0.000)
Cu (0.000, 0.000, 0.000)
Se (0.500, 0.500, 0.500)

=====

Computed, not measured: a relaxed structure of CaAl2Cd2 at the PBE level of DFT.

Results
Energy of formation from the pure elements   0.002 eV/atom
Space-group type   P4/mbm, No. 127

Cell: 8.331 8.331 3.277 Å, 90.00 90.00 90.00°
Fractional positions:
Ca (0.000, 0.000, 0.000)
Ca (0.500, 0.500, 0.000)
Al (0.174, 0.674, 0.500)
Al (0.674, 0.826, 0.500)
Al (0.826, 0.326, 0.500)
Al (0.326, 0.174, 0.500)
Cd (0.372, 0.872, 0.000)
Cd (0.872, 0.628, 0.000)
Cd (0.628, 0.128, 0.000)
Cd (0.128, 0.372, 0.000)

=====

Computed, not measured: a relaxed structure of KRuAu at the PBE level of DFT.

Results
Energy of formation from the pure elements   0.727 eV/atom
Energy above the lowest structure with this stoichiometry   173 meV/atom
Space-group type   I4mm, No. 107

Cell: 7.880 7.880 2.813 Å, 79.72 79.72 20.56°
Fractional positions:
Au (0.017, 0.017, 0.983)
K (0.331, 0.331, 0.669)
Ru (0.651, 0.651, 0.349)

=====

Computed, not measured: a relaxed structure of KRhSe2 at the PBE level of DFT.

Results
Space-group type   P2_1/m, No. 11
Formation energy from raw total energies   -0.51 eV per atom

Cell: 3.952 7.092 6.944 Å, 90.00 84.94 90.00°
Fractional positions:
K (0.806, 0.750, 0.104)
K (0.194, 0.250, 0.896)
Rh (0.237, 0.750, 0.602)
Rh (0.763, 0.250, 0.398)
Se (0.274, 0.461, 0.333)
Se (0.726, 0.539, 0.667)
Se (0.726, 0.961, 0.667)
Se (0.274, 0.039, 0.333)

=====

Computed, not measured: a relaxed structure of Mn21Co2C6 at the PBE level of DFT.

Results
Energy of formation from the pure elements   -0.021 eV/atom
Space-group type   Fm-3m, No. 225

Cell: 7.368 7.368 7.368 Å, 60.00 60.00 60.00°
Last column: magnetic moment on the atom in μB.
Fractional positions:
Mn (0.000, 0.000, 0.000)  -1.39
Mn (0.619, 0.619, 0.144)  1.68
Mn (0.619, 0.619, 0.619)  1.68
Mn (0.619, 0.144, 0.619)  1.68
Mn (0.144, 0.619, 0.619)  1.68
Mn (0.381, 0.381, 0.856)  1.68
Mn (0.381, 0.381, 0.381)  1.68
Mn (0.381, 0.856, 0.381)  1.68
Mn (0.856, 0.381, 0.381)  1.68
Mn (0.668, 0.000, 0.332)  0.68
Mn (0.000, 0.668, 0.332)  0.68
Mn (0.000, 0.000, 0.332)  0.68
Mn (0.000, 0.668, 0.000)  0.68
Mn (0.668, 0.000, 0.000)  0.68
Mn (0.000, 0.000, 0.668)  0.68
Mn (0.000, 0.332, 0.000)  0.68
Mn (0.000, 0.332, 0.668)  0.68
Mn (0.668, 0.332, 0.000)  0.68
Mn (0.332, 0.000, 0.668)  0.68
Mn (0.332, 0.000, 0.000)  0.68
Mn (0.332, 0.668, 0.000)  0.68
Co (0.750, 0.750, 0.750)  1.27
Co (0.250, 0.250, 0.250)  1.27
C (0.276, 0.724, 0.276)  -0.09
C (0.724, 0.276, 0.276)  -0.09
C (0.724, 0.724, 0.276)  -0.09
C (0.724, 0.276, 0.724)  -0.09
C (0.276, 0.724, 0.724)  -0.09
C (0.276, 0.276, 0.724)  -0.09

=====

Computed, not measured: a relaxed structure of SrVCd3 at the PBE level of DFT.

Results
Energy of formation from the pure elements   0.259 eV/atom
Space-group type   Pm-3m, No. 221

Cell: 5.315 5.315 5.315 Å, 90.00 90.00 90.00°
Last column: magnetic moment on the atom in μB.
Fractional positions:
Sr (0.500, 0.500, 0.500)  -0.01
Cd (0.000, 0.500, 0.000)  0.07
Cd (0.000, 0.000, 0.500)  0.07
Cd (0.500, 0.000, 0.000)  0.07
V (0.000, 0.000, 0.000)  2.71

=====

Computed, not measured: a relaxed structure of CrAgW at the PBE level of DFT.

Results
Energy of formation from the pure elements   1.252 eV/atom
Energy above the lowest structure with this stoichiometry   758 meV/atom
Space-group type   F-43m, No. 216

Cell: 4.225 4.225 4.225 Å, 60.00 60.00 60.00°
Last column: magnetic moment on the atom in μB.
Fractional positions:
Ag (0.500, 0.500, 0.500)  0.06
Cr (0.250, 0.250, 0.250)  1.76
W (0.000, 0.000, 0.000)  -0.76

=====

Computed, not measured: a relaxed structure of Ti3TlHg at the PBE level of DFT.

Results
Energy of formation from the pure elements   0.944 eV/atom
Energy above the lowest structure with this stoichiometry   0 meV/atom
Space-group type   Pm-3m, No. 221

Cell: 5.006 5.006 5.006 Å, 90.00 90.00 90.00°
Last column: magnetic moment on the atom in μB.
Fractional positions:
Tl (0.500, 0.500, 0.500)  -0.02
Hg (0.000, 0.000, 0.000)  -0.01
Ti (0.000, 0.500, 0.000)  0.26
Ti (0.000, 0.000, 0.500)  0.17
Ti (0.500, 0.000, 0.000)  0.45

=====

Computed, not measured: a relaxed structure of Sr2CuH6Ir at the PBE level of DFT.

Results
E_tot   -4.090 eV per atom
Space-group type   C2/m, No. 12

Cell: 5.475 5.475 5.455 Å, 59.88 59.88 89.97°
Fractional positions:
Sr (0.750, 0.250, 0.500)
Sr (0.250, 0.750, 0.500)
Cu (0.000, 0.000, 0.000)
H (0.273, 0.273, 0.456)
H (0.726, 0.726, 0.001)
H (0.274, 0.726, 0.000)
H (0.726, 0.274, 0.000)
H (0.274, 0.274, 0.999)
H (0.727, 0.727, 0.544)
Ir (0.500, 0.500, 0.000)

=====

Computed, not measured: a relaxed structure of TbSm2Si2 at the PBE level of DFT.

Results
Energy above the lowest structure with this stoichiometry   82 meV/atom
Space-group type   C2/m, No. 12
Formation energy from raw total energies   -0.61 eV per atom

Cell: 4.348 6.543 9.846 Å, 77.80 77.24 70.59°
Fractional positions:
Tb (0.778, 0.082, 0.363)
Tb (0.222, 0.918, 0.637)
Sm (0.321, 0.270, 0.089)
Sm (0.484, 0.343, 0.688)
Sm (0.679, 0.730, 0.911)
Sm (0.516, 0.657, 0.312)
Si (0.983, 0.138, 0.896)
Si (0.109, 0.338, 0.443)
Si (0.017, 0.862, 0.104)
Si (0.891, 0.662, 0.557)

=====

Computed, not measured: a relaxed structure of NaAcAlO4 at the PBE level of DFT.

Results
Space-group type   Cmcm, No. 63
Formation energy from raw total energies   -2.53 eV per atom

Cell: 5.334 5.443 6.849 Å, 90.00 112.92 90.00°
Last column: magnetic moment on the atom in μB.
Fractional positions:
Na (0.604, 0.750, 0.208)  0.00
Na (0.396, 0.250, 0.792)  0.00
Ac (0.107, 0.250, 0.215)  0.00
Ac (0.893, 0.750, 0.785)  0.00
Al (0.247, 0.750, 0.493)  -0.01
Al (0.753, 0.250, 0.507)  -0.01
O (0.909, 0.250, 0.817)  0.08
O (0.401, 0.750, 0.802)  0.34
O (0.091, 0.750, 0.183)  0.08
O (0.599, 0.250, 0.198)  0.34
O (0.500, 0.500, 0.500)  0.23
O (0.000, 0.000, 0.500)  0.23
O (0.500, 0.000, 0.500)  0.23
O (0.000, 0.500, 0.500)  0.23

=====

Computed, not measured: a relaxed structure of LiZnGeO at the PBE level of DFT.

Results
Energy above the lowest structure with this stoichiometry   72 meV/atom
Space-group type   Cm, No. 8
Formation energy from raw total energies   -0.81 eV per atom

Cell: 5.184 3.283 8.220 Å, 90.00 118.45 90.00°
Fractional positions:
Ge (0.387, 0.000, 0.883)
Ge (0.387, 0.500, 0.383)
Zn (0.581, 0.000, 0.661)
Zn (0.581, 0.500, 0.161)
O (0.993, 0.000, 0.696)
O (0.993, 0.500, 0.196)
Li (0.009, 0.000, 0.075)
Li (0.009, 0.500, 0.575)

=====

Number 1: DOS at the Fermi energy 0.290 states/eV/atom. Number 2: DOS at the Fermi energy 0.902 states/eV/atom. Number 3: DOS at the Fermi energy 0.593 states/eV/atom. Number 4: DOS at the Fermi energy 0.505 states/eV/atom. Number 5: DOS at the Fermi energy 1.840 states/eV/atom. Number 6: DOS at the Fermi energy 1.322 states/eV/atom. Number 7: DOS at the Fermi energy 1.165 states/eV/atom. Number 8: DOS at the Fermi energy 1.087 states/eV/atom. Number 9: DOS at the Fermi energy 1.634 states/eV/atom. Number 10: DOS at the Fermi energy 0.466 states/eV/atom. Number 11: DOS at the Fermi energy 0.634 states/eV/atom. Number 12: DOS at the Fermi energy 0.687 states/eV/atom. Number 13: DOS at the Fermi energy 1.235 states/eV/atom. Number 14: DOS at the Fermi energy 0.727 states/eV/atom. Number 15: DOS at the Fermi energy 0.775 states/eV/atom. Number 16: DOS at the Fermi energy 1.145 states/eV/atom. Number 17: DOS at the Fermi energy 0.139 states/eV/atom. Number 18: DOS at the Fermi energy 0.701 states/eV/atom. Number 19: DOS at the Fermi energy 0.503 states/eV/atom. Number 20: DOS at the Fermi energy 0.192 states/eV/atom.